! GGA-PBE NdSm6YSc2, relaxed; values from VASP
! DOS(E_F) = 15.87 states/eV/f.u.
! V = 32.20 Å³ per atom
! Formation energy from the elements = 0.122 eV per atom
! Mass density = 6.32 g cm⁻³
&SYSTEM
  ibrav = 0, nat = 20, ntyp = 4
/
ATOMIC_SPECIES
Sm 150.36 Sm.upf
Sc 44.96 Sc.upf
Nd 144.24 Nd.upf
Y 88.91 Y.upf
CELL_PARAMETERS angstrom
9.148 -1.930 -2.003
0.702 8.509 -1.979
0.702 -2.293 8.430
ATOMIC_POSITIONS crystal
Sm 0.553 0.760 0.111
Sm 0.620 0.497 0.702
Sm 0.320 0.980 0.438
Sc 0.547 0.195 0.297
Nd 0.250 0.405 0.595
Sm 0.820 0.438 0.980
Sm 0.380 0.503 0.298
Sm 0.947 0.889 0.240
Sm 0.880 0.298 0.503
Sm 0.053 0.111 0.760
Sm 0.120 0.702 0.497
Sc 0.953 0.703 0.805
Sc 0.453 0.805 0.703
Y 0.250 0.971 0.029
Nd 0.750 0.595 0.405
Sm 0.447 0.240 0.889
Sm 0.680 0.020 0.562
Sc 0.047 0.297 0.195
Sm 0.180 0.562 0.020
Y 0.750 0.029 0.971

=====

! GGA-PBE Tb2AlCo2, relaxed; values from VASP
! DOS(E_F) = 4.33 states/eV/f.u.
! V = 18.63 Å³ per atom
! Formation energy from the elements = -0.377 eV per atom
! Mass density = 8.25 g cm⁻³
&SYSTEM
  ibrav = 0, nat = 5, ntyp = 3
/
ATOMIC_SPECIES
Al 26.98 Al.upf
Co 58.93 Co.upf
Tb 158.93 Tb.upf
CELL_PARAMETERS angstrom
5.416 -0.002 -0.008
1.149 5.293 0.008
-2.648 -3.433 3.246
ATOMIC_POSITIONS crystal
Al 0.000 0.000 0.000
Co 0.721 0.500 0.221
Co 0.279 0.500 0.779
Tb 0.296 0.796 0.500
Tb 0.704 0.204 0.500

=====

! GGA-PBE BaTl2Ag2, relaxed; values from VASP
! DOS(E_F) = 2.04 states/eV/f.u.
! Energy above the lowest structure with this stoichiometry = 0.007 eV per atom
! V = 29.70 Å³ per atom
! Formation energy from the elements = -0.173 eV per atom
! Mass density = 8.52 g cm⁻³
&SYSTEM
  ibrav = 0, nat = 5, ntyp = 3
/
ATOMIC_SPECIES
Tl 204.38 Tl.upf
Ag 107.87 Ag.upf
Ba 137.33 Ba.upf
CELL_PARAMETERS angstrom
5.275 0.000 0.000
0.000 5.275 0.000
2.637 2.637 5.337
ATOMIC_POSITIONS crystal
Tl 0.639 0.639 0.721
Tl 0.361 0.361 0.279
Ag 0.750 0.250 0.500
Ag 0.250 0.750 0.500
Ba 0.000 0.000 0.000

=====

! GGA-PBE Mg2SbOs, relaxed; values from VASP
! DOS(E_F) = 2.23 states/eV/f.u.
! V = 20.90 Å³ per atom
! Energy relative to the elements, uncorrected = 0.133 eV per atom
! Mass density = 7.16 g cm⁻³
&SYSTEM
  ibrav = 0, nat = 4, ntyp = 3
/
ATOMIC_SPECIES
Sb 121.76 Sb.upf
Os 190.23 Os.upf
Mg 24.30 Mg.upf
CELL_PARAMETERS angstrom
3.195 0.000 0.000
0.000 3.195 0.000
0.000 0.000 8.192
ATOMIC_POSITIONS crystal
Sb 0.500 0.500 0.689
Os 0.000 0.000 0.507
Mg 0.500 0.500 0.299
Mg 0.000 0.000 0.005

=====

! GGA-PBE Cr2SiW, relaxed; values from VASP
! DOS(E_F) = 2.62 states/eV/f.u.
! V = 13.03 Å³ per atom
! Energy relative to the elements, uncorrected = 0.016 eV per atom
! Mass density = 10.07 g cm⁻³
&SYSTEM
  ibrav = 0, nat = 4, ntyp = 3
/
ATOMIC_SPECIES
Cr 52.00 Cr.upf
W 183.84 W.upf
Si 28.09 Si.upf
CELL_PARAMETERS angstrom
-0.112 1.841 -3.671
1.591 -1.854 -0.978
-3.178 -3.419 -1.618
ATOMIC_POSITIONS crystal
Cr 0.000 0.957 0.021
Cr 0.000 0.543 0.479
W 0.500 0.750 0.750
Si 0.500 0.250 0.250

=====

! GGA-PBE SrGeSe2Br, relaxed; values from VASP
! DOS(E_F) = 2.05 states/eV/f.u.
! Energy above the lowest structure with this stoichiometry = 0.000 eV per atom
! V = 28.18 Å³ per atom
! Energy relative to the elements, uncorrected = -0.841 eV per atom
! Mass density = 4.69 g cm⁻³
&SYSTEM
  ibrav = 0, nat = 5, ntyp = 4
/
ATOMIC_SPECIES
Se 78.96 Se.upf
Ge 72.64 Ge.upf
Br 79.90 Br.upf
Sr 87.62 Sr.upf
CELL_PARAMETERS angstrom
-0.600 3.688 -3.533
-2.475 -3.322 -3.047
-4.628 1.394 2.241
ATOMIC_POSITIONS crystal
Se 0.500 0.000 0.000
Ge 0.000 0.000 0.000
Br 0.000 0.000 0.500
Se 0.000 0.500 0.000
Sr 0.500 0.500 0.500

=====

! GGA-PBE SmHoTm2, relaxed; values from VASP
! DOS(E_F) = 7.11 states/eV/f.u.
! Energy above the lowest structure with this stoichiometry = 0.204 eV per atom
! V = 32.53 Å³ per atom
! Formation energy from the elements = 0.213 eV per atom
! Mass density = 8.34 g cm⁻³
&SYSTEM
  ibrav = 0, nat = 16, ntyp = 3
/
ATOMIC_SPECIES
Tm 168.93 Tm.upf
Ho 164.93 Ho.upf
Sm 150.36 Sm.upf
CELL_PARAMETERS angstrom
-5.582 -3.945 0.858
2.863 -4.906 -3.930
1.666 0.434 12.826
ATOMIC_POSITIONS crystal
Tm 0.374 0.988 0.112
Tm 0.626 0.012 0.888
Ho 0.124 0.489 0.613
Tm 0.374 0.512 0.388
Tm 0.876 0.013 0.388
Sm 0.626 0.987 0.613
Tm 0.124 0.987 0.612
Sm 0.626 0.513 0.887
Tm 0.626 0.488 0.612
Ho 0.876 0.989 0.113
Sm 0.374 0.487 0.113
Ho 0.876 0.511 0.387
Sm 0.374 0.013 0.387
Ho 0.124 0.011 0.887
Tm 0.124 0.513 0.888
Tm 0.876 0.487 0.112

=====

! GGA-PBE CdAs2SeBr, relaxed; values from VASP
! DOS(E_F) = 3.93 states/eV/f.u.
! Energy above the lowest structure with this stoichiometry = 0.000 eV per atom
! V = 28.02 Å³ per atom
! Energy relative to the elements, uncorrected = 0.606 eV per atom
! Mass density = 4.99 g cm⁻³
&SYSTEM
  ibrav = 0, nat = 5, ntyp = 4
/
ATOMIC_SPECIES
Se 78.96 Se.upf
As 74.92 As.upf
Br 79.90 Br.upf
Cd 112.41 Cd.upf
CELL_PARAMETERS angstrom
-0.300 1.586 -4.852
-3.668 -3.773 -1.006
-3.715 3.266 1.298
ATOMIC_POSITIONS crystal
Se 0.000 0.000 0.000
As 0.000 0.000 0.500
Br 0.000 0.500 0.000
As 0.500 0.000 0.000
Cd 0.500 0.500 0.500

=====

! GGA-PBE BiAsF, relaxed; values from VASP
! DOS(E_F) = 0.12 states/eV/f.u.
! Energy above the lowest structure with this stoichiometry = 0.055 eV per atom
! V = 23.99 Å³ per atom
! Energy relative to the elements, uncorrected = -0.931 eV per atom
! Mass density = 6.99 g cm⁻³
&SYSTEM
  ibrav = 0, nat = 6, ntyp = 3
/
ATOMIC_SPECIES
F 19.00 F.upf
As 74.92 As.upf
Bi 208.98 Bi.upf
CELL_PARAMETERS angstrom
4.318 -1.114 -0.038
-0.824 5.516 0.839
0.386 1.304 6.502
ATOMIC_POSITIONS crystal
F 0.835 0.159 0.520
As 0.967 0.430 0.851
Bi 0.737 0.952 0.220
Bi 0.390 0.281 0.619
As 0.160 0.803 0.988
F 0.292 0.074 0.319

=====

! GGA-PBE Ca2InCl, relaxed; values from VASP
! DOS(E_F) = 3.52 states/eV/f.u.
! Energy above the lowest structure with this stoichiometry = 0.176 eV per atom
! V = 30.73 Å³ per atom
! Energy relative to the elements, uncorrected = -0.902 eV per atom
! Mass density = 3.11 g cm⁻³
&SYSTEM
  ibrav = 0, nat = 4, ntyp = 3
/
ATOMIC_SPECIES
Ca 40.08 Ca.upf
In 114.82 In.upf
Cl 35.45 Cl.upf
CELL_PARAMETERS angstrom
6.436 0.015 -0.065
5.400 3.501 -0.065
0.130 0.039 5.474
ATOMIC_POSITIONS crystal
Ca 0.995 0.995 0.073
Ca 0.732 0.732 0.623
In 0.262 0.262 0.128
Cl 0.511 0.511 0.676

=====

! GGA-PBE CsSrGaAs2, relaxed; values from VASP
! V = 41.52 Å³ per atom
! Formation energy from the elements = -0.552 eV per atom
! Mass density = 3.52 g cm⁻³
&SYSTEM
  ibrav = 0, nat = 10, ntyp = 4
/
ATOMIC_SPECIES
As 74.92 As.upf
Ga 69.72 Ga.upf
Cs 132.91 Cs.upf
Sr 87.62 Sr.upf
CELL_PARAMETERS angstrom
-1.359 -5.515 -2.235
8.145 -2.048 0.101
-4.883 -1.830 7.484
ATOMIC_POSITIONS crystal
As 0.243 0.392 0.784
Ga 0.000 0.000 0.000
Cs 0.765 0.250 0.500
Cs 0.235 0.750 0.500
Sr 0.500 0.250 0.000
Ga 0.000 0.500 0.000
As 0.757 0.892 0.784
As 0.243 0.108 0.216
Sr 0.500 0.750 0.000
As 0.757 0.608 0.216

=====

! GGA-PBE Ho3Tm2Th, relaxed; values from VASP
! DOS(E_F) = 9.14 states/eV/f.u.
! Energy above the lowest structure with this stoichiometry = 0.000 eV per atom
! V = 31.04 Å³ per atom
! Formation energy from the elements = 0.035 eV per atom
! Mass density = 9.49 g cm⁻³
&SYSTEM
  ibrav = 0, nat = 12, ntyp = 3
/
ATOMIC_SPECIES
Tm 168.93 Tm.upf
Th 232.04 Th.upf
Ho 164.93 Ho.upf
CELL_PARAMETERS angstrom
4.888 0.000 1.007
1.150 6.303 6.789
-0.820 4.265 16.351
ATOMIC_POSITIONS crystal
Tm 0.084 0.623 0.209
Th 0.419 0.620 0.543
Ho 0.417 0.122 0.043
Tm 0.916 0.377 0.791
Th 0.581 0.380 0.457
Ho 0.083 0.127 0.707
Ho 0.250 0.875 0.625
Tm 0.748 0.631 0.872
Tm 0.252 0.369 0.128
Ho 0.917 0.873 0.293
Ho 0.750 0.125 0.375
Ho 0.583 0.878 0.957

=====

! GGA-PBE Pm3Dy8Y3, relaxed; values from VASP
! DOS(E_F) = 22.40 states/eV/f.u.
! V = 32.88 Å³ per atom
! Formation energy from the elements = 0.110 eV per atom
! Mass density = 7.22 g cm⁻³
&SYSTEM
  ibrav = 0, nat = 14, ntyp = 3
/
ATOMIC_SPECIES
Dy 162.50 Dy.upf
Pm 145.00 Pm.upf
Y 88.91 Y.upf
CELL_PARAMETERS angstrom
5.545 0.000 1.115
2.719 9.249 0.819
1.056 -3.124 9.096
ATOMIC_POSITIONS crystal
Dy 0.341 0.882 0.438
Dy 0.158 0.239 0.445
Pm 0.500 0.000 0.000
Dy 0.158 0.445 0.239
Dy 0.659 0.562 0.118
Dy 0.659 0.118 0.562
Dy 0.341 0.438 0.882
Y 0.202 0.798 0.798
Pm 0.000 0.183 0.817
Y 0.798 0.202 0.202
Dy 0.842 0.555 0.761
Dy 0.842 0.761 0.555
Pm 0.000 0.817 0.183
Y 0.500 0.500 0.500

=====

! GGA-PBE CsGaTc2, relaxed; values from VASP
! DOS(E_F) = 5.07 states/eV/f.u.
! V = 24.38 Å³ per atom
! Formation energy from the elements = 1.228 eV per atom
! Mass density = 6.79 g cm⁻³
&SYSTEM
  ibrav = 0, nat = 8, ntyp = 3
/
ATOMIC_SPECIES
Ga 69.72 Ga.upf
Tc 98.00 Tc.upf
Cs 132.91 Cs.upf
CELL_PARAMETERS angstrom
4.593 0.000 0.000
0.000 4.593 0.000
2.297 2.297 9.244
ATOMIC_POSITIONS crystal
Ga 0.500 0.500 0.000
Ga 0.250 0.750 0.500
Tc 0.267 0.625 0.250
Tc 0.875 0.733 0.750
Cs 0.750 0.250 0.500
Cs 0.000 0.000 0.000
Tc 0.483 0.125 0.250
Tc 0.375 0.517 0.750

=====

! GGA-PBE Ac2AsPtO6, relaxed; values from VASP
! DOS(E_F) = 2.33 states/eV/f.u.
! V = 15.06 Å³ per atom
! Energy relative to the elements, uncorrected = -1.931 eV per atom
! Mass density = 9.04 g cm⁻³
&SYSTEM
  ibrav = 0, nat = 10, ntyp = 4
/
ATOMIC_SPECIES
Ac 227.00 Ac.upf
O 16.00 O.upf
Pt 195.08 Pt.upf
As 74.92 As.upf
CELL_PARAMETERS angstrom
4.518 0.000 0.000
0.000 5.773 0.000
0.000 0.000 5.773
ATOMIC_POSITIONS crystal
Ac 0.046 0.000 0.500
O 0.688 0.755 0.245
O 0.688 0.245 0.755
Ac 0.046 0.500 0.000
O 0.146 0.500 0.500
O 0.688 0.755 0.755
O 0.206 0.000 0.000
Pt 0.646 0.500 0.500
O 0.688 0.245 0.245
As 0.607 0.000 0.000

=====

! GGA-PBE K4LiAl, relaxed; values from VASP
! DOS(E_F) = 5.14 states/eV/f.u.
! V = 49.59 Å³ per atom
! Formation energy from the elements = 0.470 eV per atom
! Mass density = 1.06 g cm⁻³
&SYSTEM
  ibrav = 0, nat = 6, ntyp = 3
/
ATOMIC_SPECIES
Li 6.94 Li.upf
Al 26.98 Al.upf
K 39.10 K.upf
CELL_PARAMETERS angstrom
0.000 5.299 5.299
5.299 0.000 5.299
5.299 5.299 0.000
ATOMIC_POSITIONS crystal
Li 0.750 0.750 0.750
Al 0.000 0.000 0.000
K 0.374 0.374 0.374
K 0.374 0.374 0.877
K 0.374 0.877 0.374
K 0.877 0.374 0.374

=====

! GGA-PBE AcSmPt2, relaxed; values from VASP
! DOS(E_F) = 2.50 states/eV/f.u.
! Energy above the lowest structure with this stoichiometry = 0.103 eV per atom
! V = 24.82 Å³ per atom
! Formation energy from the elements = -1.048 eV per atom
! Mass density = 12.84 g cm⁻³
&SYSTEM
  ibrav = 0, nat = 4, ntyp = 3
/
ATOMIC_SPECIES
Pt 195.08 Pt.upf
Ac 227.00 Ac.upf
Sm 150.36 Sm.upf
CELL_PARAMETERS angstrom
3.675 0.000 0.000
0.000 3.675 0.000
0.000 0.000 7.348
ATOMIC_POSITIONS crystal
Pt 0.000 0.000 0.775
Ac 0.500 0.500 0.500
Pt 0.000 0.000 0.225
Sm 0.500 0.500 0.000

=====

! GGA-PBE LuV4Tc, relaxed; values from VASP
! DOS(E_F) = 9.61 states/eV/f.u.
! V = 15.52 Å³ per atom
! Formation energy from the elements = 0.096 eV per atom
! Mass density = 8.50 g cm⁻³
&SYSTEM
  ibrav = 0, nat = 6, ntyp = 3
/
ATOMIC_SPECIES
Lu 174.97 Lu.upf
V 50.94 V.upf
Tc 98.00 Tc.upf
CELL_PARAMETERS angstrom
5.087 0.000 0.000
2.544 4.406 0.000
2.544 1.469 4.154
ATOMIC_POSITIONS crystal
Lu 0.000 0.000 0.000
V 0.625 0.625 0.625
V 0.625 0.625 0.124
V 0.124 0.625 0.625
Tc 0.250 0.250 0.250
V 0.625 0.124 0.625

=====

! GGA-PBE HgMo2Pb, relaxed; values from VASP
! DOS(E_F) = 5.29 states/eV/f.u.
! Energy above the lowest structure with this stoichiometry = 0.505 eV per atom
! V = 19.22 Å³ per atom
! Formation energy from the elements = 0.901 eV per atom
! Mass density = 12.95 g cm⁻³
&SYSTEM
  ibrav = 0, nat = 4, ntyp = 3
/
ATOMIC_SPECIES
Hg 200.59 Hg.upf
Mo 95.94 Mo.upf
Pb 207.20 Pb.upf
CELL_PARAMETERS angstrom
-3.603 -3.810 0.724
2.091 -4.834 -0.530
1.384 4.277 2.795
ATOMIC_POSITIONS crystal
Hg 0.750 0.250 0.500
Mo 0.000 0.000 0.000
Mo 0.500 0.500 0.000
Pb 0.250 0.750 0.500

=====

! GGA-PBE NbCu3H, relaxed; values from VASP
! DOS(E_F) = 3.98 states/eV/f.u.
! Energy above the lowest structure with this stoichiometry = 1.529 eV per atom
! V = 23.62 Å³ per atom
! Mass density = 4.00 g cm⁻³
&SYSTEM
  ibrav = 0, nat = 5, ntyp = 3
/
ATOMIC_SPECIES
Cu 63.55 Cu.upf
Nb 92.91 Nb.upf
H 1.01 H.upf
CELL_PARAMETERS angstrom
-0.205 -4.458 -2.038
-1.711 -1.847 4.211
-4.593 0.887 -1.478
ATOMIC_POSITIONS crystal
Cu 0.000 0.500 0.000
Nb 0.000 0.000 0.000
H 0.500 0.500 0.500
Cu 0.500 0.000 0.000
Cu 0.000 0.000 0.500